No. 1
The following is a DFT calculation (PBE) of a geometry-optimized ErTmCuHg structure.

The structure in CIF format:
```
data_ErTmCuHg
_space_group_name_H-M_alt 'F -4 3 m'
_space_group_IT_number 216
_space_group_name_Hall 'F -4 2 3'
_cell_length_a 7.142
_cell_length_b 7.142
_cell_length_c 7.142
_cell_angle_alpha 90.00
_cell_angle_beta 90.00
_cell_angle_gamma 90.00
loop_
_atom_site_label
_atom_site_type_symbol
_atom_site_fract_x
_atom_site_fract_y
_atom_site_fract_z
Er1 Er 0.000 0.000 0.000
Tm1 Tm 0.000 0.000 0.500
Cu1 Cu 0.250 0.250 0.250
Hg1 Hg 0.250 0.250 0.750
```

=====

No. 2
The following is a DFT calculation (PBE) of a geometry-optimized ErTmCuHg structure.

The structure in CIF format:
```
data_ErTmCuHg
_space_group_name_H-M_alt 'P 4 m m'
_space_group_IT_number 99
_space_group_name_Hall 'P 4 -2'
_cell_length_a 3.491
_cell_length_b 3.491
_cell_length_c 7.417
_cell_angle_alpha 90.00
_cell_angle_beta 90.00
_cell_angle_gamma 90.00
loop_
_atom_site_label
_atom_site_type_symbol
_atom_site_fract_x
_atom_site_fract_y
_atom_site_fract_z
Er1 Er 0.000 0.000 0.000
Tm1 Tm 0.000 0.000 0.548
Cu1 Cu 0.500 0.500 0.771
Hg1 Hg 0.500 0.500 0.276
```

=====

Quick rundown of excess energy over the best structure of this formula in the dataset, same order as above: 0.028; 0.000 eV/atom
Quick rundown of DOS(E_F), same order as above: 4.417; 3.121 states/eV/f.u.
Quick rundown of ΔE_f, same order as above: -346; -374 meV per atom